# CdIr2Pt

An optimized crystal structure of CdIr2Pt (PBE, Alexandria).

The structure belongs to space group Pmm2 (No. 25); the cell edges are 2.812, 3.926 and 5.852 Å and the angles 90.00°, 90.00° and 90.00°. The inequivalent atoms are Cd at (0.000, 0.000, 0.000), Ir at (0.000, 0.000, 0.485), Ir at (0.500, 0.500, 0.290) and Pt at (0.500, 0.500, 0.749).

Its spin magnetization is 0.000 μB/f.u. The value obtained for the density of states at the Fermi level is 0.882 states/eV per atom. The value obtained for the formation energy is 0.08 eV per atom. The volume comes out at 65 Å³/f.u. The crystal system is orthorhombic.

***

# CdIr2Pt

An optimized crystal structure of CdIr2Pt (PBE, Alexandria).

The structure belongs to space group Cmmm (No. 65); the cell edges are 2.786, 4.852 and 9.568 Å and the angles 90.00°, 90.00° and 90.00°. The inequivalent atoms are Cd at (0.000, 0.000, 0.000), Ir at (0.000, 0.500, 0.257) and Pt at (0.000, 0.000, 0.500).

Its spin magnetization is 0.000 μB/f.u. The value obtained for the density of states at the Fermi level is 1.420 states/eV per atom. The value obtained for the formation energy is 0.29 eV per atom. The volume comes out at 65 Å³/f.u. The crystal system is orthorhombic.